(1)
DFT (GGA-PBE) results for a geometry-optimized SmThPd2 structure.

POSCAR file:
```
SmThPd2
1.0
-3.757 0.779 -1.619
-2.935 -2.954 0.034
-4.419 1.520 5.628
Pd Sm Th
2 1 1
Direct
0.748 0.748 0.756
0.252 0.252 0.244
0.500 0.500 0.500
0.000 0.000 0.000
```

Summary:
N(E_F) ... 0.47 states/eV/atom
ΔE to the lowest computed polymorph ... 95 meV per atom
Symmetry ... No. 166


(2)
DFT (GGA-PBE) results for a geometry-optimized MgTi2Al structure.

POSCAR file:
```
MgTi2Al
1.0
-1.516 2.568 1.271
1.216 -0.725 2.916
5.310 3.766 -1.277
Mg Al Ti
1 1 2
Direct
0.500 0.500 0.500
0.500 0.500 0.000
0.000 0.000 0.761
0.000 0.000 0.239
```

Summary:
N(E_F) ... 0.93 states/eV/atom
Symmetry ... No. 123


(3)
DFT (GGA-PBE) results for a geometry-optimized Li4TlAs2 structure.

POSCAR file:
```
Li4TlAs2
1.0
3.716 0.000 -0.931
-0.233 3.708 -0.931
0.450 0.479 9.671
Li Tl As
4 1 2
Direct
0.146 0.146 0.292
0.854 0.854 0.708
0.750 0.250 0.500
0.250 0.750 0.500
0.000 0.000 0.000
0.649 0.649 0.298
0.351 0.351 0.702
```

Summary:
N(E_F) ... 0.40 states/eV/atom
Symmetry ... No. 139


(4)
DFT (GGA-PBE) results for a geometry-optimized MgZn3Fe structure.

POSCAR file:
```
MgZn3Fe
1.0
-4.320 -1.535 -0.592
0.416 -2.629 3.780
-1.592 3.479 2.595
Mg Zn Fe
1 3 1
Direct
0.500 0.500 0.500
0.000 0.500 0.000
0.000 0.000 0.500
0.500 0.000 0.000
0.000 0.000 0.000
```

Summary:
N(E_F) ... 0.62 states/eV/atom
ΔE to the lowest computed polymorph ... 0 meV per atom
Symmetry ... No. 221


no.,electronic total energy (eV per cell)
1,-25.36
2,-21.22
3,-21.63
4,-11.72